First-principles (GGA+U) data for Mn2CdRhO after structural relaxation, as listed in Alexandria via LeMat-Bulk.

Unit cell a=5.2893 b=5.2893 c=3.8529 alpha=90.00 beta=90.00 gamma=90.00
Sites, in units of the cell vectors:
Mn1 0.0000 0.5000 0.0000
Mn2 0.5000 0.0000 0.0000
Cd1 0.0000 0.0000 0.0000
Rh1 0.5000 0.5000 0.5000
O1 0.0000 0.0000 0.5000

Values from the calculation:
* space-group type: P4/mmm (123)
* total moment: 9.9 Bohr magnetons per cell
* uncorrected energy: -23.61 eV per cell
* calculated volume: 107.8 Å³ per cell